[1]
Entry from the Alexandria database: crystalline DyPu3 at its relaxed geometry (PBE).

POSCAR file:
```
DyPu3
1.0
4.815 0.000 0.000
0.000 4.815 0.000
0.000 0.000 4.815
Pu Dy
3 1
Cartesian
2.408 2.408 0.000
0.000 2.408 2.408
2.408 0.000 2.408
0.000 0.000 0.000
```

Summary:
Energy in eV/atom: -11.6455
Space group: Pm-3m (221)
Crystal system: cubic
Theoretical density in Mg/m³: 13.31
Magnetic moment in μB per formula unit: 17.7
Polymorph energy (0 for the lowest one) in meV per atom: 0

=====

[2]
Entry from the Alexandria database: crystalline Dy5Pu at its relaxed geometry (PBE).

POSCAR file:
```
Dy5Pu
1.0
-2.677 0.875 4.114
-3.893 -2.357 -2.032
4.308 -5.220 3.914
Dy Pu
5 1
Cartesian
-3.285 -0.741 1.041
1.583 -4.290 1.943
-1.698 -5.042 2.989
-1.168 -3.287 -0.061
-0.564 -1.660 3.007
0.000 0.000 0.000
```

Summary:
Energy in eV/atom: -6.1503
Space group: Cmmm (65)
Crystal system: orthorhombic
Theoretical density in Mg/m³: 9.53
Magnetic moment in μB per formula unit: 6.3
Polymorph energy (0 for the lowest one) in meV per atom: 10

=====

[3]
Entry from the Alexandria database: crystalline DyPu3 at its relaxed geometry (PBE).

POSCAR file:
```
DyPu3
1.0
-0.824 -1.027 3.363
5.349 -1.437 0.871
-1.181 6.372 -0.282
Pu Dy
3 1
Cartesian
-0.288 2.333 2.582
2.733 1.816 1.224
1.821 -1.113 2.045
4.906 -1.318 0.799
```

Summary:
Energy in eV/atom: -11.6241
Space group: Imm2 (44)
Crystal system: orthorhombic
Theoretical density in Mg/m³: 13.18
Magnetic moment in μB per formula unit: 18.1
Polymorph energy (0 for the lowest one) in meV per atom: 21